VASP calculation (GGA-PBE) on an optimized crystal structure of TbPmDyCd.

The value obtained for the total energy is -3.721 eV/atom. As for the energy relative to the elements: 2 kJ/mol of formula units. The value obtained for the energy above the most stable polymorph in this dataset is 155 meV per atom.

The structure belongs to space group F-43m (No. 216); the cell edges are 7.752, 7.752 and 7.752 Å and the angles 90.00°, 90.00° and 90.00°. The asymmetric unit holds Tb at (0.000, 0.000, 0.000), Pm at (0.250, 0.250, 0.250), Dy at (0.000, 0.000, 0.500) and Cd at (0.250, 0.250, 0.750).



VASP calculation (GGA-PBE) on an optimized crystal structure of PrAu2Br6.

The value obtained for the total energy is -3.190 eV/atom. The value obtained for the raw formation energy is -0.815 eV per atom.

The structure belongs to space group C2/c (No. 15); the cell edges are 15.380, 12.918 and 7.523 Å and the angles 90.00°, 101.56° and 90.00°. The asymmetric unit holds Pr at (0.000, 0.091, 0.250), Au at (0.125, 0.410, 0.149), Br at (0.102, 0.077, 0.623), Br at (0.121, 0.421, 0.503) and Br at (0.146, 0.218, 0.164).



VASP calculation (GGA-PBE) on an optimized crystal structure of Ho6Tm12Mg.

The value obtained for the total energy is -4.210 eV/atom. As for the energy relative to the elements: 264 kJ/mol of formula units. The value obtained for the energy above the most stable polymorph in this dataset is 0 meV per atom.

The structure belongs to space group R-3 (No. 148, hexagonal axes); the cell edges are 11.6815, 11.6815 and 14.8374 Å and the angles 90.00°, 90.00° and 120.00°. The asymmetric unit holds Ho at (0.0166, 0.4254, 0.1868), Tm at (0.0015, 0.1761, 0.3125), Tm at (0.0456, 0.8513, 0.9155) and Mg at (0.0000, 0.0000, 0.5000).



VASP calculation (GGA-PBE) on an optimized crystal structure of Er12PtAu6.

The value obtained for the total energy is -4.798 eV/atom. As for the energy relative to the elements: -1032 kJ/mol of formula units.

The structure belongs to space group R-3 (No. 148, hexagonal axes); the cell edges are 12.6712, 12.6712 and 11.8899 Å and the angles 90.00°, 90.00° and 120.00°. The asymmetric unit holds Er at (0.0317, 0.8160, 0.3961), Er at (0.0452, 0.8383, 0.8866), Pt at (0.0000, 0.0000, 0.0000) and Au at (0.0477, 0.7816, 0.6473).



VASP calculation (GGA-PBE) on an optimized crystal structure of NdAlS.

The value obtained for the total energy is -5.059 eV/atom. The value obtained for the raw formation energy is -0.847 eV per atom.

The structure belongs to space group Amm2 (No. 38); the cell edges are 10.537, 5.483 and 5.472 Å and the angles 90.00°, 90.00° and 90.00°. The asymmetric unit holds Nd at (0.181, 0.000, 0.000), Al at (0.000, 0.000, 0.500), Al at (0.500, 0.000, 0.504) and S at (0.250, 0.000, 0.500).



VASP calculation (GGA-PBE) on an optimized crystal structure of Pm3Nd2Tl2.

The value obtained for the total energy is -4.202 eV/atom. As for the energy relative to the elements: -86 kJ/mol of formula units. The value obtained for the energy above the most stable polymorph in this dataset is 80 meV per atom.

The structure belongs to space group Immm (No. 71); the cell edges are 3.749, 5.344 and 22.679 Å and the angles 90.00°, 90.00° and 90.00°. The asymmetric unit holds Pm at (0.000, 0.000, 0.000), Pm at (0.000, 0.500, 0.203), Nd at (0.000, 0.000, 0.427) and Tl at (0.000, 0.500, 0.349).



VASP calculation (GGA-PBE) on an optimized crystal structure of Pm8Al2Ge.

The value obtained for the total energy is -4.809 eV/atom. As for the energy relative to the elements: -269 kJ/mol of formula units.

The structure belongs to space group C2/m (No. 12); the cell edges are 19.054, 5.142 and 6.901 Å and the angles 90.00°, 104.91° and 90.00°. The asymmetric unit holds Pm at (0.018, 0.000, 0.273), Pm at (0.094, 0.500, 0.961), Pm at (0.156, 0.500, 0.475), Pm at (0.211, 0.000, 0.806), Al at (0.182, 0.000, 0.241) and Ge at (0.000, 0.500, 0.500).



VASP calculation (GGA-PBE) on an optimized crystal structure of Na4Li3Cl8.

The value obtained for the total energy is -3.294 eV/atom. The value obtained for the raw formation energy is -1.575 eV per atom.

The structure belongs to space group C2/m (No. 12); the cell edges are 10.914, 10.972 and 7.648 Å and the angles 90.00°, 134.44° and 90.00°. The asymmetric unit holds Na at (0.000, 0.000, 0.000), Na at (0.000, 0.500, 0.500), Na at (0.250, 0.250, 0.000), Li at (0.000, 0.500, 0.000), Li at (0.250, 0.250, 0.500), Cl at (0.000, 0.251, 0.500), Cl at (0.000, 0.255, 0.000), Cl at (0.239, 0.500, 0.001) and Cl at (0.241, 0.500, 0.481).



Question: Which of these has the highest total energy?
Answer: PrAu2Br6